1.
## Mg2MoIr (PBE)

Data for a relaxed structure of Mg2MoIr.

Cell lengths 4.7950, 4.7950, 5.1243 Å; angles 97.08, 97.08, 34.72 degrees
Last column: nearest neighbours and their distance in Å.
Positions (direct):
Mg: 0.0000 0.0000 0.0000  5 Mg 2.64-2.91, 2 Mo 2.83, 3 Ir 2.87-2.94
Mg: 0.2391 0.2391 0.7617  5 Mg 2.64-2.91, 2 Ir 2.83, 1 Mo 2.84
Mo: 0.4834 0.4834 0.4728  3 Ir 2.66-2.70, 5 Mg 2.83-2.97, 2 Mo 2.86
Ir: 0.7416 0.7416 0.2862  3 Mo 2.66-2.70, 5 Mg 2.83-2.94, 2 Ir 2.86

Excess energy over the best structure of this formula in the dataset, meV/atom: 148
Formation enthalpy at 0 K, eV/atom: 0.031
Space group: Cm

---

2.
## CaTmSnBi (PBE)

Data for a relaxed structure of CaTmSnBi.

Cell lengths 5.4687, 5.4687, 5.4687 Å; angles 60.00, 60.00, 60.00 degrees
Last column: nearest neighbours and their distance in Å.
Positions (direct):
Ca: 0.0000 0.0000 0.0000  4 Sn 3.35, 4 Bi 3.35
Tm: 0.5000 0.5000 0.5000  4 Bi 3.35, 4 Sn 3.35
Sn: 0.7500 0.7500 0.7500  4 Tm 3.35, 4 Ca 3.35
Bi: 0.2500 0.2500 0.2500  4 Tm 3.35, 4 Ca 3.35

Formation enthalpy at 0 K, eV/atom: -0.515
Space group: F-43m

---

3.
## GdAsO4 (PBE)

Data for a relaxed structure of GdAsO4.

Cell lengths 6.0458, 6.0458, 6.0458 Å; angles 106.43, 106.43, 115.74 degrees
Last column: nearest neighbours and their distance in Å.
Positions (direct):
Gd: 0.3750 0.6250 0.7500  8 O 2.37-2.47
Gd: 0.6250 0.3750 0.2500  8 O 2.37-2.47
As: 0.1250 0.8750 0.2500  4 O 1.72
As: 0.8750 0.1250 0.7500  4 O 1.72
O: 0.1310 0.7006 0.4303  1 As 1.72
O: 0.2297 0.2994 0.9303  1 As 1.72
O: 0.2994 0.2297 0.4303  1 As 1.72
O: 0.2994 0.8690 0.0697  1 As 1.72
O: 0.7006 0.1310 0.9303  1 As 1.72
O: 0.7006 0.7703 0.5697  1 As 1.72
O: 0.7703 0.7006 0.0697  1 As 1.72
O: 0.8690 0.2994 0.5697  1 As 1.72

Excess energy over the best structure of this formula in the dataset, meV/atom: 0
Space group: I4_1/amd
Uncorrected formation energy, eV/atom: -2.340

---

4.
## SrTa3Br (PBE)

Data for a relaxed structure of SrTa3Br.

Cell lengths 4.9055, 4.9055, 4.9055 Å; angles 90.00, 90.00, 90.00 degrees
Last column: nearest neighbours and their distance in Å.
Positions (direct):
Sr: 0.0000 0.0000 0.0000  12 Ta 3.47
Ta: 0.0000 0.5000 0.5000  2 Br 2.45
Ta: 0.5000 0.0000 0.5000  2 Br 2.45
Ta: 0.5000 0.5000 0.0000  2 Br 2.45
Br: 0.5000 0.5000 0.5000  6 Ta 2.45

Excess energy over the best structure of this formula in the dataset, meV/atom: 0
Space group: Pm-3m
Uncorrected formation energy, eV/atom: 1.371

---

5.
## Cs3TlCl (PBE)

Data for a relaxed structure of Cs3TlCl.

Cell lengths 6.7778, 6.7778, 6.7778 Å; angles 90.00, 90.00, 90.00 degrees
Last column: nearest neighbours and their distance in Å.
Positions (direct):
Cs: 0.0000 0.0000 0.5000  2 Cl 3.39
Cs: 0.0000 0.5000 0.0000  2 Cl 3.39
Cs: 0.5000 0.0000 0.0000  2 Cl 3.39
Tl: 0.5000 0.5000 0.5000  12 Cs 4.79
Cl: 0.0000 0.0000 0.0000  6 Cs 3.39

Excess energy over the best structure of this formula in the dataset, meV/atom: 0
Space group: Pm-3m
Uncorrected formation energy, eV/atom: -0.693

---

6.
## CsAlPt2 (PBE)

Data for a relaxed structure of CsAlPt2.

Cell lengths 6.6324, 6.6324, 6.6324 Å; angles 109.60, 109.60, 109.21 degrees
Last column: nearest neighbours and their distance in Å.
Positions (direct):
Cs: 0.0000 0.0000 0.0000  8 Pt 3.48-3.62, 2 Al 3.84
Cs: 0.7500 0.2500 0.5000  8 Pt 3.48-3.62, 2 Al 3.84
Al: 0.2500 0.7500 0.5000  4 Pt 2.40
Al: 0.5000 0.5000 0.0000  4 Pt 2.40
Pt: 0.2340 0.6250 0.1090  2 Al 2.40
Pt: 0.3750 0.4840 0.6090  2 Al 2.40
Pt: 0.5160 0.1250 0.8910  2 Al 2.40
Pt: 0.8750 0.7660 0.3910  2 Al 2.40

Formation enthalpy at 0 K, eV/atom: -0.059
Space group: I-42d

---

The calculation returns the following V values, one per record and in order: 67, 116, 84, 118, 311, 112 Å³/f.u..
The calculation returns the following M_tot values, one per record and in order: 0.00, 0.00, 13.98, 0.00, 0.00, 0.00 μB per cell.